Density functional theory data (GGA-PBEsol) for TePWS2 after structural relaxation.

The structure in extended XYZ format:
```
5
Lattice="-0.164 -4.804 0.144 1.102 -0.178 -4.677 4.885 -0.132 1.156" Properties=species:S:1:pos:R:3 pbc="T T T"
W 2.912 -2.557 -1.689
P 2.443 -0.066 0.578
Te 0.000 0.000 0.000
S 0.551 -0.089 -2.339
S -0.082 -2.402 0.072
```

Results
The uncorrected formation energy comes out at 1.768 eV/atom. Its symmetry is P4/mmm, No. 123. The calculation puts the density of states at the Fermi level at 4.09 states/eV/cell. Its polymorph energy (0 for the lowest one) is 1515 meV/atom. The volume is 23.23 A^3/atom. Its electronic total energy is -23.05 eV/cell.